The following is a PBE calculation of AcGa2SiAu after structural relaxation, from Alexandria.

Computed properties:
Theoretical density in kg/m³: 9194
VASP energy in eV per atom: -4.326
V in A^3/atom: 21.37

a b c (Å): 4.479 4.607 6.093
angles (deg): 112.21 111.56 90.00
Atoms (fractional coordinates):
Ac1 0.442 0.442 0.884
Ga1 0.695 0.195 0.389
Ga2 0.060 0.060 0.120
Si1 0.820 0.820 0.640
Au1 0.196 0.696 0.391